## i
! MgSbN2 GGA-PBE relaxed; values from VASP
! **Symmetry**: R-3m, No. 166
! **Volume**: 15.083 Å³/atom
! **M_tot**: 0.000 μB/f.u.
&SYSTEM
  ibrav = 0, nat = 4, ntyp = 3
/
ATOMIC_SPECIES
Mg 24.30 Mg.upf
Sb 121.76 Sb.upf
N 14.01 N.upf
ATOMIC_POSITIONS angstrom
Mg 0.000 0.000 0.000
Sb 0.000 0.000 8.922
N 0.000 0.000 6.969
N 0.000 0.000 10.876
CELL_PARAMETERS angstrom
1.711 0.988 5.948
-1.711 0.988 5.948
0.000 -1.976 5.948


## ii
! MgSbN2 GGA-PBE relaxed; values from VASP
! **Symmetry**: I-42d, No. 122
! **Volume**: 15.254 Å³/atom
! **M_tot**: 0.000 μB/f.u.
&SYSTEM
  ibrav = 0, nat = 8, ntyp = 3
/
ATOMIC_SPECIES
Mg 24.30 Mg.upf
Sb 121.76 Sb.upf
N 14.01 N.upf
ATOMIC_POSITIONS angstrom
Mg 0.000 0.000 0.000
Mg 0.000 2.463 2.514
Sb 2.463 0.000 2.514
Sb 0.000 0.000 5.027
N 1.232 -1.226 3.770
N 1.237 1.232 1.257
N 1.232 3.690 -1.257
N 1.226 1.232 6.284
CELL_PARAMETERS angstrom
-2.463 2.463 5.027
2.463 -2.463 5.027
2.463 2.463 -5.027


Energies relative to the most stable structure are i 40.5; ii 0.0, reported in kJ/mol of atoms.


## i
! MgSbN2 GGA-PBE relaxed; values from VASP
! **Symmetry**: Fm-3m, No. 225
! **Volume**: 12.022 Å³/atom
! **M_tot**: 0.000 μB/f.u.
&SYSTEM
  ibrav = 0, nat = 4, ntyp = 3
/
ATOMIC_SPECIES
Mg 24.30 Mg.upf
Sb 121.76 Sb.upf
N 14.01 N.upf
ATOMIC_POSITIONS angstrom
Mg 0.000 0.000 0.000
Sb 2.886 2.886 2.886
N 1.443 1.443 1.443
N 4.329 4.329 4.329
CELL_PARAMETERS angstrom
0.000 2.886 2.886
2.886 0.000 2.886
2.886 2.886 0.000


## ii
! MgSbN2 GGA-PBE relaxed; values from VASP
! **Symmetry**: R-3m, No. 166
! **Volume**: 14.762 Å³/atom
! **M_tot**: 0.125 μB/f.u.
&SYSTEM
  ibrav = 0, nat = 4, ntyp = 3
/
ATOMIC_SPECIES
Mg 24.30 Mg.upf
Sb 121.76 Sb.upf
N 14.01 N.upf
ATOMIC_POSITIONS angstrom
Mg 0.000 0.000 0.000
Sb 0.000 0.000 9.553
N 0.000 0.000 2.086
N 0.000 0.000 17.020
CELL_PARAMETERS angstrom
1.636 0.945 6.369
-1.636 0.945 6.369
0.000 -1.889 6.369


Energies relative to the most stable structure are i 50.1; ii 0.0, reported in kJ/mol of atoms.


## i
! MgSbTeN2 GGA-PBE relaxed; values from VASP
! **Symmetry**: P4/mmm, No. 123
! **Volume**: 21.569 Å³/atom
! **M_tot**: 3.196 μB/f.u.
&SYSTEM
  ibrav = 0, nat = 5, ntyp = 4
/
ATOMIC_SPECIES
Mg 24.30 Mg.upf
Sb 121.76 Sb.upf
Te 127.60 Te.upf
N 14.01 N.upf
ATOMIC_POSITIONS angstrom
Mg 0.000 0.000 0.000
Sb 2.150 2.150 2.916
Te 0.000 0.000 2.916
N 0.000 2.150 0.000
N 2.150 0.000 0.000
CELL_PARAMETERS angstrom
4.300 0.000 0.000
0.000 4.300 0.000
0.000 0.000 5.833


## ii
! MgSbTeN2 GGA-PBE relaxed; values from VASP
! **Symmetry**: P4/mmm, No. 123
! **Volume**: 21.060 Å³/atom
! **M_tot**: 0.983 μB/f.u.
&SYSTEM
  ibrav = 0, nat = 5, ntyp = 4
/
ATOMIC_SPECIES
Mg 24.30 Mg.upf
Sb 121.76 Sb.upf
Te 127.60 Te.upf
N 14.01 N.upf
ATOMIC_POSITIONS angstrom
Mg 0.000 0.000 0.000
Sb 2.039 2.039 3.166
Te 2.039 2.039 0.000
N 0.000 2.039 3.166
N 2.039 0.000 3.166
CELL_PARAMETERS angstrom
4.078 0.000 0.000
0.000 4.078 0.000
0.000 0.000 6.332


Energies relative to the most stable structure are i 31.6; ii 0.0, reported in kJ/mol of atoms.


## i
! MgSc3N GGA-PBE relaxed; values from VASP
! **Symmetry**: P2_1/c, No. 14
! **Volume**: 19.221 Å³/atom
! **M_tot**: 0.000 μB/f.u.
&SYSTEM
  ibrav = 0, nat = 20, ntyp = 3
/
ATOMIC_SPECIES
Mg 24.30 Mg.upf
Sc 44.96 Sc.upf
N 14.01 N.upf
ATOMIC_POSITIONS angstrom
Mg 0.418 1.109 0.629
Mg -1.156 1.808 4.530
Mg 6.453 4.027 3.272
Mg 4.878 4.725 7.172
Sc 0.758 3.645 2.060
Sc -0.816 5.107 5.961
Sc 1.277 0.474 3.543
Sc -0.298 2.444 7.444
Sc 1.698 3.319 5.043
Sc 3.273 5.432 1.142
Sc 2.024 0.402 6.659
Sc 3.598 2.515 2.758
Sc 5.594 3.391 0.358
Sc 4.020 5.361 4.259
Sc 6.113 0.728 1.841
Sc 4.538 2.189 5.741
N 0.812 4.313 7.035
N 2.386 4.438 3.134
N 2.910 1.396 4.668
N 4.485 1.521 0.767
CELL_PARAMETERS angstrom
8.445 0.000 0.000
0.000 5.834 0.000
-3.149 0.000 7.802


## ii
! MgSc3N GGA-PBE relaxed; values from VASP
! **Symmetry**: Cmcm, No. 63
! **Volume**: 20.102 Å³/atom
! **M_tot**: 0.000 μB/f.u.
&SYSTEM
  ibrav = 0, nat = 10, ntyp = 3
/
ATOMIC_SPECIES
Mg 24.30 Mg.upf
Sc 44.96 Sc.upf
N 14.01 N.upf
ATOMIC_POSITIONS angstrom
Mg 5.193 2.549 4.598
Mg 5.193 -2.549 1.533
Sc 3.074 1.840 1.533
Sc 7.312 1.840 1.533
Sc 5.193 0.000 0.000
Sc 5.193 0.000 3.065
Sc 3.074 -1.840 4.598
Sc 7.312 -1.840 4.598
N 5.193 1.567 1.533
N 5.193 -1.567 4.598
CELL_PARAMETERS angstrom
5.193 -3.157 0.000
5.193 3.157 0.000
0.000 0.000 6.130


## iii
! MgSc3N GGA-PBE relaxed; values from VASP
! **Symmetry**: Cmcm, No. 63
! **Volume**: 22.608 Å³/atom
! **M_tot**: 0.000 μB/f.u.
&SYSTEM
  ibrav = 0, nat = 10, ntyp = 3
/
ATOMIC_SPECIES
Mg 24.30 Mg.upf
Sc 44.96 Sc.upf
N 14.01 N.upf
ATOMIC_POSITIONS angstrom
Mg 3.211 5.184 4.754
Mg 3.211 -5.184 1.585
Sc 1.583 2.498 4.754
Sc 1.583 -2.498 1.585
Sc 3.211 0.000 0.000
Sc 3.211 0.000 3.170
Sc 4.838 2.498 4.754
Sc 4.838 -2.498 1.585
N 3.211 1.361 4.754
N 3.211 -1.361 1.585
CELL_PARAMETERS angstrom
3.211 -5.554 0.000
3.211 5.554 0.000
0.000 0.000 6.339


Energies relative to the most stable structure are i 0.0; ii 15.0; iii 21.7, reported in kJ/mol of atoms.


## i
! MgSc3N GGA-PBE relaxed; values from VASP
! **Symmetry**: C2/m, No. 12
! **Volume**: 19.081 Å³/atom
! **M_tot**: 0.000 μB/f.u.
&SYSTEM
  ibrav = 0, nat = 10, ntyp = 3
/
ATOMIC_SPECIES
Mg 24.30 Mg.upf
Sc 44.96 Sc.upf
N 14.01 N.upf
ATOMIC_POSITIONS angstrom
Mg -0.333 0.000 3.564
Mg 7.073 0.000 4.472
Sc -2.081 0.000 7.538
Sc 2.727 0.000 2.482
Sc 1.011 0.000 6.618
Sc 5.728 0.000 1.419
Sc 4.013 0.000 5.555
Sc 8.820 0.000 0.499
N 3.711 0.000 0.571
N 3.028 0.000 7.466
CELL_PARAMETERS angstrom
5.254 -2.259 0.000
5.254 2.259 0.000
-3.769 0.000 8.037


## ii
! MgSc3N GGA-PBE relaxed; values from VASP
! **Symmetry**: I-4m2, No. 119
! **Volume**: 25.970 Å³/atom
! **M_tot**: 0.002 μB/f.u.
&SYSTEM
  ibrav = 0, nat = 10, ntyp = 3
/
ATOMIC_SPECIES
Mg 24.30 Mg.upf
Sc 44.96 Sc.upf
N 14.01 N.upf
ATOMIC_POSITIONS angstrom
Mg 0.000 0.000 0.000
Mg 0.000 2.120 7.221
Sc 0.000 0.000 9.567
Sc 0.000 1.034 3.061
Sc 0.000 0.000 19.319
Sc 0.000 3.207 3.061
Sc -1.086 2.120 11.382
Sc 1.086 2.120 11.382
N 2.120 0.000 3.871
N 2.120 0.000 10.572
CELL_PARAMETERS angstrom
-2.120 2.120 14.443
2.120 -2.120 14.443
2.120 2.120 -14.443


Energies relative to the most stable structure are i 0.0; ii 139.9, reported in kJ/mol of atoms.


## i
! MgSc3N GGA-PBE relaxed; values from VASP
! **Symmetry**: R-3c, No. 167
! **Volume**: 20.715 Å³/atom
! **M_tot**: 0.000 μB/f.u.
&SYSTEM
  ibrav = 0, nat = 10, ntyp = 3
/
ATOMIC_SPECIES
Mg 24.30 Mg.upf
Sc 44.96 Sc.upf
N 14.01 N.upf
ATOMIC_POSITIONS angstrom
Mg 0.000 0.000 0.000
Mg 0.000 0.000 4.731
Sc -1.014 -1.757 2.366
Sc -1.014 1.757 2.366
Sc 2.028 0.000 2.366
Sc -2.028 0.000 7.097
Sc 1.014 -1.757 7.097
Sc 1.014 1.757 7.097
N 0.000 0.000 2.366
N 0.000 0.000 7.097
CELL_PARAMETERS angstrom
4.354 2.514 3.154
-4.354 2.514 3.154
0.000 -5.028 3.154


## ii
! MgSc3N GGA-PBE relaxed; values from VASP
! **Symmetry**: Pm-3m, No. 221
! **Volume**: 26.281 Å³/atom
! **M_tot**: 0.000 μB/f.u.
&SYSTEM
  ibrav = 0, nat = 5, ntyp = 3
/
ATOMIC_SPECIES
Mg 24.30 Mg.upf
Sc 44.96 Sc.upf
N 14.01 N.upf
ATOMIC_POSITIONS angstrom
Mg 0.000 0.000 0.000
Sc 0.000 0.000 2.542
Sc 0.000 2.542 0.000
Sc 2.542 0.000 0.000
N 2.542 2.542 2.542
CELL_PARAMETERS angstrom
5.084 0.000 0.000
0.000 5.084 0.000
0.000 0.000 5.084


Energies relative to the most stable structure are i 0.0; ii 196.9, reported in kJ/mol of atoms.


## i
! MgScSeN2 GGA-PBE relaxed; values from VASP
! **Symmetry**: P4/mmm, No. 123
! **Volume**: 18.470 Å³/atom
! **M_tot**: 0.886 μB/f.u.
&SYSTEM
  ibrav = 0, nat = 5, ntyp = 4
/
ATOMIC_SPECIES
Mg 24.30 Mg.upf
Sc 44.96 Sc.upf
Se 78.96 Se.upf
N 14.01 N.upf
ATOMIC_POSITIONS angstrom
Mg 0.000 0.000 0.000
Sc 2.027 2.027 2.811
Se 2.027 2.027 0.000
N 0.000 2.027 2.811
N 2.027 0.000 2.811
CELL_PARAMETERS angstrom
4.053 0.000 0.000
0.000 4.053 0.000
0.000 0.000 5.622


## ii
! MgScSeN2 GGA-PBE relaxed; values from VASP
! **Symmetry**: P4/mmm, No. 123
! **Volume**: 16.072 Å³/atom
! **M_tot**: 0.985 μB/f.u.
&SYSTEM
  ibrav = 0, nat = 5, ntyp = 4
/
ATOMIC_SPECIES
Mg 24.30 Mg.upf
Sc 44.96 Sc.upf
Se 78.96 Se.upf
N 14.01 N.upf
ATOMIC_POSITIONS angstrom
Mg 0.000 0.000 0.000
Sc 1.970 1.970 2.588
Se 0.000 0.000 2.588
N 0.000 1.970 0.000
N 1.970 0.000 0.000
CELL_PARAMETERS angstrom
3.940 0.000 0.000
0.000 3.940 0.000
0.000 0.000 5.175


Energies relative to the most stable structure are i 0.0; ii 27.5, reported in kJ/mol of atoms.


## i
! MgScSe2N GGA-PBE relaxed; values from VASP
! **Symmetry**: P4/mmm, No. 123
! **Volume**: 20.306 Å³/atom
! **M_tot**: 2.000 μB/f.u.
&SYSTEM
  ibrav = 0, nat = 5, ntyp = 4
/
ATOMIC_SPECIES
Mg 24.30 Mg.upf
Sc 44.96 Sc.upf
Se 78.96 Se.upf
N 14.01 N.upf
ATOMIC_POSITIONS angstrom
Mg 0.000 0.000 0.000
Sc 2.543 2.543 1.963
Se 0.000 2.543 0.000
Se 2.543 0.000 0.000
N 0.000 0.000 1.963
CELL_PARAMETERS angstrom
5.085 0.000 0.000
0.000 5.085 0.000
0.000 0.000 3.926


## ii
! MgScSe2N GGA-PBE relaxed; values from VASP
! **Symmetry**: P4/mmm, No. 123
! **Volume**: 22.551 Å³/atom
! **M_tot**: 1.866 μB/f.u.
&SYSTEM
  ibrav = 0, nat = 5, ntyp = 4
/
ATOMIC_SPECIES
Mg 24.30 Mg.upf
Sc 44.96 Sc.upf
Se 78.96 Se.upf
N 14.01 N.upf
ATOMIC_POSITIONS angstrom
Mg 0.000 0.000 0.000
Sc 2.622 2.622 2.050
Se 0.000 2.622 2.050
Se 2.622 0.000 2.050
N 2.622 2.622 0.000
CELL_PARAMETERS angstrom
5.244 0.000 0.000
0.000 5.244 0.000
0.000 0.000 4.100


Energies relative to the most stable structure are i 21.9; ii 0.0, reported in kJ/mol of atoms.


## i
! MgScTe2N GGA-PBE relaxed; values from VASP
! **Symmetry**: P4/mmm, No. 123
! **Volume**: 26.118 Å³/atom
! **M_tot**: 0.000 μB/f.u.
&SYSTEM
  ibrav = 0, nat = 5, ntyp = 4
/
ATOMIC_SPECIES
Mg 24.30 Mg.upf
Sc 44.96 Sc.upf
Te 127.60 Te.upf
N 14.01 N.upf
ATOMIC_POSITIONS angstrom
Mg 0.000 0.000 0.000
Sc 2.895 2.895 1.948
Te 0.000 2.895 1.948
Te 2.895 0.000 1.948
N 2.895 2.895 0.000
CELL_PARAMETERS angstrom
5.789 0.000 0.000
0.000 5.789 0.000
0.000 0.000 3.896


## ii
! MgScTe2N GGA-PBE relaxed; values from VASP
! **Symmetry**: P4/mmm, No. 123
! **Volume**: 24.255 Å³/atom
! **M_tot**: 1.857 μB/f.u.
&SYSTEM
  ibrav = 0, nat = 5, ntyp = 4
/
ATOMIC_SPECIES
Mg 24.30 Mg.upf
Sc 44.96 Sc.upf
Te 127.60 Te.upf
N 14.01 N.upf
ATOMIC_POSITIONS angstrom
Mg 0.000 0.000 0.000
Sc 2.774 2.774 1.970
Te 0.000 2.774 0.000
Te 2.774 0.000 0.000
N 0.000 0.000 1.970
CELL_PARAMETERS angstrom
5.548 0.000 0.000
0.000 5.548 0.000
0.000 0.000 3.940


Energies relative to the most stable structure are i 0.0; ii 24.4, reported in kJ/mol of atoms.


## i
! Mg2SeN GGA-PBE relaxed; values from VASP
! **Symmetry**: Fm-3m, No. 225
! **Volume**: 15.239 Å³/atom
! **M_tot**: 0.405 μB/f.u.
&SYSTEM
  ibrav = 0, nat = 4, ntyp = 3
/
ATOMIC_SPECIES
Mg 24.30 Mg.upf
Se 78.96 Se.upf
N 14.01 N.upf
ATOMIC_POSITIONS angstrom
Mg 1.562 1.562 1.562
Mg 4.685 4.685 4.685
Se 0.000 0.000 0.000
N 3.124 3.124 3.124
CELL_PARAMETERS angstrom
0.000 3.124 3.124
3.124 0.000 3.124
3.124 3.124 0.000


## ii
! Mg2SeN GGA-PBE relaxed; values from VASP
! **Symmetry**: I-42d, No. 122
! **Volume**: 18.879 Å³/atom
! **M_tot**: 0.979 μB/f.u.
&SYSTEM
  ibrav = 0, nat = 8, ntyp = 3
/
ATOMIC_SPECIES
Mg 24.30 Mg.upf
Se 78.96 Se.upf
N 14.01 N.upf
ATOMIC_POSITIONS angstrom
Mg 4.280 0.865 -1.160
Mg 0.865 1.427 1.160
Mg -1.427 1.988 3.479
Mg 1.988 1.427 5.798
Se 2.853 0.000 2.319
Se 0.000 0.000 4.638
N 0.000 0.000 0.000
N 0.000 2.853 2.319
CELL_PARAMETERS angstrom
-2.853 2.853 4.638
2.853 -2.853 4.638
2.853 2.853 -4.638


Energies relative to the most stable structure are i 59.1; ii 0.0, reported in kJ/mol of atoms.


## i
! MgSiSe2N GGA-PBE relaxed; values from VASP
! **Symmetry**: P4/mmm, No. 123
! **Volume**: 17.692 Å³/atom
! **M_tot**: 0.000 μB/f.u.
&SYSTEM
  ibrav = 0, nat = 5, ntyp = 4
/
ATOMIC_SPECIES
Mg 24.30 Mg.upf
Si 28.09 Si.upf
Se 78.96 Se.upf
N 14.01 N.upf
ATOMIC_POSITIONS angstrom
Mg 0.000 0.000 0.000
Si 2.588 2.588 1.650
Se 0.000 2.588 1.650
Se 2.588 0.000 1.650
N 2.588 2.588 0.000
CELL_PARAMETERS angstrom
5.177 0.000 0.000
0.000 5.177 0.000
0.000 0.000 3.301


## ii
! MgSiSe2N GGA-PBE relaxed; values from VASP
! **Symmetry**: P4/mmm, No. 123
! **Volume**: 20.944 Å³/atom
! **M_tot**: 1.979 μB/f.u.
&SYSTEM
  ibrav = 0, nat = 5, ntyp = 4
/
ATOMIC_SPECIES
Mg 24.30 Mg.upf
Si 28.09 Si.upf
Se 78.96 Se.upf
N 14.01 N.upf
ATOMIC_POSITIONS angstrom
Mg 0.000 0.000 0.000
Si 2.575 2.575 1.974
Se 0.000 2.575 0.000
Se 2.575 0.000 0.000
N 0.000 0.000 1.974
CELL_PARAMETERS angstrom
5.150 0.000 0.000
0.000 5.150 0.000
0.000 0.000 3.948


Energies relative to the most stable structure are i 0.0; ii 90.5, reported in kJ/mol of atoms.


## i
! MgSnSeN2 GGA-PBE relaxed; values from VASP
! **Symmetry**: P4/mmm, No. 123
! **Volume**: 19.262 Å³/atom
! **M_tot**: 1.874 μB/f.u.
&SYSTEM
  ibrav = 0, nat = 5, ntyp = 4
/
ATOMIC_SPECIES
Mg 24.30 Mg.upf
Sn 118.71 Sn.upf
Se 78.96 Se.upf
N 14.01 N.upf
ATOMIC_POSITIONS angstrom
Mg 0.000 0.000 0.000
Sn 2.037 2.037 2.900
Se 2.037 2.037 0.000
N 0.000 2.037 2.900
N 2.037 0.000 2.900
CELL_PARAMETERS angstrom
4.075 0.000 0.000
0.000 4.075 0.000
0.000 0.000 5.801


## ii
! MgSnSeN2 GGA-PBE relaxed; values from VASP
! **Symmetry**: P4/mmm, No. 123
! **Volume**: 19.143 Å³/atom
! **M_tot**: 3.904 μB/f.u.
&SYSTEM
  ibrav = 0, nat = 5, ntyp = 4
/
ATOMIC_SPECIES
Mg 24.30 Mg.upf
Sn 118.71 Sn.upf
Se 78.96 Se.upf
N 14.01 N.upf
ATOMIC_POSITIONS angstrom
Mg 0.000 0.000 0.000
Sn 2.110 2.110 2.686
Se 0.000 0.000 2.686
N 0.000 2.110 0.000
N 2.110 0.000 0.000
CELL_PARAMETERS angstrom
4.221 0.000 0.000
0.000 4.221 0.000
0.000 0.000 5.373


Energies relative to the most stable structure are i 0.0; ii 15.8, reported in kJ/mol of atoms.